Pu4ZrPt3 | GGA-PBE | optimized geometry

Calculated values
Final energy, eV/atom: -11.139
Calculated formation energy, meV/atom: -639.0

abc: 8.462 8.462 8.462
angles: 96.38 96.38 141.04
Atoms (fractional coordinates):
Pu1 0.088 0.779 0.867
Pu2 0.221 0.088 0.309
Pu3 0.279 0.588 0.867
Pu4 0.412 0.279 0.691
Pu5 0.588 0.721 0.309
Pu6 0.721 0.412 0.133
Pu7 0.779 0.912 0.691
Pu8 0.912 0.221 0.133
Zr1 0.250 0.750 0.500
Zr2 0.750 0.250 0.500
Pt1 0.155 0.345 0.500
Pt2 0.250 0.250 0.000
Pt3 0.345 0.845 0.190
Pt4 0.655 0.155 0.810
Pt5 0.750 0.750 0.000
Pt6 0.845 0.655 0.500

=====

LaDy2Sb | GGA-PBE | optimized geometry

Calculated values
Final energy, eV/atom: -5.080
Formation energy without anion corrections, kcal/mol of atoms: -11.9
Energy above the lowest structure with this stoichiometry, eV/atom: 0.056

abc: 4.900 4.900 4.795
angles: 90.00 90.00 90.00
Atoms (fractional coordinates):
La1 0.000 0.000 0.000
Dy1 0.000 0.500 0.500
Dy2 0.500 0.000 0.500
Sb1 0.500 0.500 0.000

=====

LiPW | GGA-PBE | optimized geometry

Calculated values
Final energy, eV/atom: -6.695
Calculated formation energy, meV/atom: 63.5
Energy above the lowest structure with this stoichiometry, eV/atom: 0.431

abc: 4.167 4.167 2.799
angles: 90.00 90.00 120.00
Atoms (fractional coordinates):
Li1 0.000 0.000 0.000
P1 0.333 0.667 0.434
W1 0.667 0.333 0.499

=====

PrNdTm2Sb4 | GGA-PBE | optimized geometry

Calculated values
Final energy, eV/atom: -5.495
Formation energy without anion corrections, kcal/mol of atoms: -25.9

abc: 7.679 4.447 7.696
angles: 90.00 109.53 90.00
Atoms (fractional coordinates):
Pr1 0.000 0.000 0.000
Nd1 0.000 0.500 0.500
Tm1 0.500 0.000 0.500
Tm2 0.500 0.500 0.000
Sb1 0.263 0.000 0.754
Sb2 0.264 0.500 0.256
Sb3 0.736 0.500 0.744
Sb4 0.737 0.000 0.246

=====

PaReN3 | GGA-PBE | optimized geometry

Calculated values
Final energy, eV/atom: -9.923
Formation energy without anion corrections, kcal/mol of atoms: -12.4

abc: 3.924 3.924 3.924
angles: 90.00 90.00 90.00
Atoms (fractional coordinates):
Pa1 0.000 0.000 0.000
Re1 0.500 0.500 0.500
N1 0.000 0.500 0.500
N2 0.500 0.000 0.500
N3 0.500 0.500 0.000

=====

PmYPu4 | GGA-PBE | optimized geometry

Calculated values
Final energy, eV/atom: -11.187
Calculated formation energy, meV/atom: 236.7

abc: 6.206 6.206 6.206
angles: 60.00 60.00 60.00
Atoms (fractional coordinates):
Pm1 0.000 0.000 0.000
Y1 0.750 0.750 0.750
Pu1 0.375 0.375 0.375
Pu2 0.375 0.375 0.875
Pu3 0.375 0.875 0.375
Pu4 0.875 0.375 0.375

=====

Li2CaC2 | GGA-PBE | optimized geometry

Calculated values
Final energy, eV/atom: -4.710
Calculated formation energy, meV/atom: 145.8
Energy above the lowest structure with this stoichiometry, eV/atom: 0.033

abc: 3.597 3.597 9.122
angles: 90.00 90.00 90.00
Atoms (fractional coordinates):
Li1 0.000 0.500 0.250
Li2 0.000 0.500 0.750
Li3 0.500 0.000 0.250
Li4 0.500 0.000 0.750
Ca1 0.000 0.000 0.000
Ca2 0.500 0.500 0.500
C1 0.000 0.000 0.423
C2 0.000 0.000 0.577
C3 0.500 0.500 0.077
C4 0.500 0.500 0.923

=====

Sr3InBi | GGA-PBE | optimized geometry

Calculated values
Final energy, eV/atom: -2.576
Calculated formation energy, meV/atom: -243.2
Energy above the lowest structure with this stoichiometry, eV/atom: 0.316

abc: 6.343 6.343 6.343
angles: 90.00 90.00 90.00
Atoms (fractional coordinates):
Sr1 0.000 0.000 0.500
Sr2 0.000 0.500 0.000
Sr3 0.500 0.000 0.000
In1 0.500 0.500 0.500
Bi1 0.000 0.000 0.000

=====

CaTlW3 | GGA-PBE | optimized geometry

Calculated values
Final energy, eV/atom: -5.522
Calculated formation energy, meV/atom: 3123.5
Energy above the lowest structure with this stoichiometry, eV/atom: 0.370

abc: 4.722 4.722 4.722
angles: 90.00 90.00 90.00
Atoms (fractional coordinates):
Ca1 0.000 0.000 0.000
Tl1 0.500 0.500 0.500
W1 0.000 0.000 0.500
W2 0.000 0.500 0.000
W3 0.500 0.000 0.000

=====

CaCu2PH | GGA-PBE | optimized geometry

Calculated values
Final energy, eV/atom: -4.269

abc: 5.477 5.477 6.871
angles: 90.00 90.00 138.41
Atoms (fractional coordinates):
Ca1 0.058 0.942 0.750
Ca2 0.942 0.058 0.250
Cu1 0.334 0.666 0.560
Cu2 0.334 0.666 0.940
Cu3 0.666 0.334 0.060
Cu4 0.666 0.334 0.440
P1 0.223 0.777 0.250
P2 0.777 0.223 0.750
H1 0.500 0.500 0.000
H2 0.500 0.500 0.500

=====

LiLaPd3 | GGA-PBE | optimized geometry

Calculated values
Final energy, eV/atom: -5.099
Calculated formation energy, meV/atom: -614.7
Energy above the lowest structure with this stoichiometry, eV/atom: 0.000

abc: 6.144 6.144 5.624
angles: 90.00 90.00 120.00
Atoms (fractional coordinates):
Li1 0.000 0.000 0.000
Li2 0.000 0.000 0.500
La1 0.333 0.667 0.250
La2 0.667 0.333 0.750
Pd1 0.184 0.367 0.750
Pd2 0.184 0.816 0.750
Pd3 0.367 0.184 0.250
Pd4 0.633 0.816 0.750
Pd5 0.816 0.184 0.250
Pd6 0.816 0.633 0.250

=====

Cu2GePd2 | GGA-PBE | optimized geometry

Calculated values
Final energy, eV/atom: -4.707
Calculated formation energy, meV/atom: -67.6
Energy above the lowest structure with this stoichiometry, eV/atom: 0.081

abc: 6.258 6.258 3.747
angles: 90.00 90.00 90.00
Atoms (fractional coordinates):
Cu1 0.136 0.364 0.000
Cu2 0.364 0.864 0.000
Cu3 0.636 0.136 0.000
Cu4 0.864 0.636 0.000
Ge1 0.000 0.000 0.000
Ge2 0.500 0.500 0.000
Pd1 0.164 0.664 0.500
Pd2 0.336 0.164 0.500
Pd3 0.664 0.836 0.500
Pd4 0.836 0.336 0.500

=====

LaYPdRu | GGA-PBE | optimized geometry

Calculated values
Final energy, eV/atom: -6.971
Calculated formation energy, meV/atom: -505.7

abc: 7.083 7.083 7.083
angles: 90.00 90.00 90.00
Atoms (fractional coordinates):
La1 0.000 0.000 0.000
La2 0.000 0.500 0.500
La3 0.500 0.000 0.500
La4 0.500 0.500 0.000
Y1 0.000 0.000 0.500
Y2 0.000 0.500 0.000
Y3 0.500 0.000 0.000
Y4 0.500 0.500 0.500
Pd1 0.250 0.250 0.250
Pd2 0.250 0.750 0.750
Pd3 0.750 0.250 0.750
Pd4 0.750 0.750 0.250
Ru1 0.250 0.250 0.750
Ru2 0.250 0.750 0.250
Ru3 0.750 0.250 0.250
Ru4 0.750 0.750 0.750

=====

Tb4NdHg2 | GGA-PBE | optimized geometry

Calculated values
Final energy, eV/atom: -3.386
Calculated formation energy, meV/atom: 27.7
Energy above the lowest structure with this stoichiometry, eV/atom: 0.117

abc: 10.766 10.766 10.766
angles: 27.19 27.19 27.19
Atoms (fractional coordinates):
Tb1 0.106 0.106 0.106
Tb2 0.297 0.297 0.297
Tb3 0.703 0.703 0.703
Tb4 0.894 0.894 0.894
Nd1 0.500 0.500 0.500
Hg1 0.398 0.398 0.398
Hg2 0.602 0.602 0.602

=====

LiLa4Mg2 | GGA-PBE | optimized geometry

Calculated values
Final energy, eV/atom: -3.409
Calculated formation energy, meV/atom: 135.9

abc: 9.411 9.411 9.411
angles: 34.24 34.24 34.24
Atoms (fractional coordinates):
Li1 0.000 0.000 0.000
La1 0.130 0.130 0.130
La2 0.383 0.383 0.383
La3 0.617 0.617 0.617
La4 0.870 0.870 0.870
Mg1 0.256 0.256 0.256
Mg2 0.744 0.744 0.744

=====

Pr4AlSn | GGA-PBE | optimized geometry

Calculated values
Final energy, eV/atom: -4.804
Calculated formation energy, meV/atom: -326.8
Energy above the lowest structure with this stoichiometry, eV/atom: 0.000

abc: 10.297 10.297 10.297
angles: 60.00 60.00 60.00
Atoms (fractional coordinates):
Pr1 0.187 0.187 0.813
Pr2 0.187 0.813 0.187
Pr3 0.187 0.813 0.813
Pr4 0.378 0.378 0.378
Pr5 0.378 0.378 0.867
Pr6 0.378 0.867 0.378
Pr7 0.551 0.551 0.949
Pr8 0.551 0.949 0.551
Pr9 0.551 0.949 0.949
Pr10 0.813 0.187 0.187
Pr11 0.813 0.187 0.813
Pr12 0.813 0.813 0.187
Pr13 0.867 0.378 0.378
Pr14 0.949 0.551 0.551
Pr15 0.949 0.551 0.949
Pr16 0.949 0.949 0.551
Al1 0.166 0.166 0.166
Al2 0.166 0.166 0.501
Al3 0.166 0.501 0.166
Al4 0.501 0.166 0.166
Sn1 0.201 0.600 0.600
Sn2 0.600 0.201 0.600
Sn3 0.600 0.600 0.201
Sn4 0.600 0.600 0.600

=====

CaAl2B2O7 | GGA-PBE | optimized geometry

Calculated values
Final energy, eV/atom: -7.656
Formation energy without anion corrections, kcal/mol of atoms: -66.0

abc: 15.974 15.974 15.974
angles: 17.51 17.51 17.51
Atoms (fractional coordinates):
Ca1 0.000 0.000 0.000
Ca2 0.500 0.500 0.500
Al1 0.214 0.214 0.214
Al2 0.286 0.286 0.286
Al3 0.714 0.714 0.714
Al4 0.786 0.786 0.786
B1 0.134 0.134 0.134
B2 0.366 0.366 0.366
B3 0.634 0.634 0.634
B4 0.866 0.866 0.866
O1 0.064 0.403 0.628
O2 0.097 0.436 0.872
O3 0.128 0.903 0.564
O4 0.250 0.250 0.250
O5 0.372 0.936 0.597
O6 0.403 0.628 0.064
O7 0.436 0.872 0.097
O8 0.564 0.128 0.903
O9 0.597 0.372 0.937
O10 0.628 0.063 0.403
O11 0.750 0.750 0.750
O12 0.872 0.097 0.437
O13 0.903 0.563 0.128
O14 0.936 0.597 0.372

=====

TlSeF | GGA-PBE | optimized geometry

Calculated values
Final energy, eV/atom: -3.653
Formation energy without anion corrections, kcal/mol of atoms: -24.9
Energy above the lowest structure with this stoichiometry, eV/atom: 0.035

abc: 5.489 14.134 3.719
angles: 90.00 90.00 90.00
Atoms (fractional coordinates):
Tl1 0.000 0.161 0.250
Tl2 0.000 0.839 0.750
Tl3 0.500 0.339 0.750
Tl4 0.500 0.661 0.250
Se1 0.000 0.443 0.250
Se2 0.000 0.557 0.750
Se3 0.500 0.057 0.750
Se4 0.500 0.943 0.250
F1 0.000 0.287 0.750
F2 0.000 0.713 0.250
F3 0.500 0.213 0.250
F4 0.500 0.787 0.750

=====

TmPu3U4P8 | GGA-PBE | optimized geometry

Calculated values
Final energy, eV/atom: -9.602
Calculated formation energy, meV/atom: -1107.9

abc: 7.943 7.943 7.943
angles: 59.30 59.30 59.30
Atoms (fractional coordinates):
Tm1 0.000 0.000 0.000
Pu1 0.000 0.500 0.500
Pu2 0.500 0.000 0.500
Pu3 0.500 0.500 0.000
U1 0.000 0.000 0.500
U2 0.000 0.500 0.000
U3 0.500 0.000 0.000
U4 0.500 0.500 0.500
P1 0.247 0.749 0.749
P2 0.249 0.249 0.249
P3 0.251 0.251 0.753
P4 0.251 0.753 0.251
P5 0.749 0.247 0.749
P6 0.749 0.749 0.247
P7 0.751 0.751 0.751
P8 0.753 0.251 0.251

=====

FePC2 | GGA-PBE | optimized geometry

Calculated values
Final energy, eV/atom: -7.706
Calculated formation energy, meV/atom: 374.4

abc: 6.426 2.558 4.959
angles: 90.00 104.14 90.00
Atoms (fractional coordinates):
Fe1 0.000 0.000 0.000
Fe2 0.500 0.500 0.000
P1 0.254 0.000 0.738
P2 0.754 0.500 0.738
C1 0.253 0.000 0.365
C2 0.279 0.500 0.241
C3 0.753 0.500 0.365
C4 0.779 0.000 0.241

=====

CaYCdAu | GGA-PBE | optimized geometry

Calculated values
Final energy, eV/atom: -3.756
Calculated formation energy, meV/atom: -591.5
Energy above the lowest structure with this stoichiometry, eV/atom: 0.000

abc: 3.675 3.675 7.566
angles: 90.00 90.00 90.00
Atoms (fractional coordinates):
Ca1 0.000 0.000 0.000
Y1 0.000 0.000 0.463
Cd1 0.500 0.500 0.724
Au1 0.500 0.500 0.255

=====

CaIr2Br | GGA-PBE | optimized geometry

Calculated values
Final energy, eV/atom: -4.839
Formation energy without anion corrections, kcal/mol of atoms: 11.8
Energy above the lowest structure with this stoichiometry, eV/atom: 0.765

abc: 6.753 6.753 6.753
angles: 90.00 90.00 90.00
Atoms (fractional coordinates):
Ca1 0.000 0.000 0.000
Ca2 0.000 0.500 0.500
Ca3 0.500 0.000 0.500
Ca4 0.500 0.500 0.000
Ir1 0.000 0.000 0.500
Ir2 0.000 0.500 0.000
Ir3 0.250 0.250 0.750
Ir4 0.250 0.750 0.250
Ir5 0.500 0.000 0.000
Ir6 0.500 0.500 0.500
Ir7 0.750 0.250 0.250
Ir8 0.750 0.750 0.750
Br1 0.250 0.250 0.250
Br2 0.250 0.750 0.750
Br3 0.750 0.250 0.750
Br4 0.750 0.750 0.250

=====

Ta2Nb2Te7 | GGA-PBE | optimized geometry

Calculated values
Final energy, eV/atom: -6.003
Formation energy without anion corrections, kcal/mol of atoms: -0.4
Energy above the lowest structure with this stoichiometry, eV/atom: 0.011

abc: 7.374 7.374 6.710
angles: 94.27 94.27 121.36
Atoms (fractional coordinates):
Ta1 0.126 0.126 0.180
Ta2 0.874 0.874 0.820
Nb1 0.181 0.819 0.500
Nb2 0.819 0.181 0.500
Te1 0.062 0.459 0.226
Te2 0.202 0.202 0.649
Te3 0.459 0.062 0.226
Te4 0.500 0.500 0.000
Te5 0.541 0.938 0.774
Te6 0.798 0.798 0.351
Te7 0.938 0.541 0.774